[1]
## TaSiMo2 (PBEsol)

Data for TaSiMo2 after structural relaxation.

## Properties
- Size of the total moment: 0.00 Bohr magnetons per cell
- ρ: 10.984 g/cm³
- Formation energy without anion corrections: -0.72 eV/f.u.
- Calculated volume: 60.61 Å³ per cell
- Fermi-level density of states: 0.674 states/eV/atom

abc: 5.087 5.087 5.087
angles: 143.06 129.09 64.55
Atoms (fractional coordinates):
Ta1 0.000 0.000 0.000
Si1 0.500 0.500 0.000
Mo1 0.248 0.748 0.500
Mo2 0.752 0.252 0.500

---

[2]
## TaSiMo2 (PBEsol)

Data for TaSiMo2 after structural relaxation.

## Properties
- Size of the total moment: 0.00 Bohr magnetons per cell
- ρ: 10.927 g/cm³
- Formation energy without anion corrections: -0.88 eV/f.u.
- Calculated volume: 60.92 Å³ per cell
- Fermi-level density of states: 0.830 states/eV/atom

abc: 3.269 3.269 5.700
angles: 90.00 90.00 90.00
Atoms (fractional coordinates):
Ta1 0.000 0.000 0.000
Si1 0.000 0.000 0.500
Mo1 0.500 0.500 0.271
Mo2 0.500 0.500 0.729

---

[3]
## SiTcMo2 (PBEsol)

Data for SiTcMo2 after structural relaxation.

## Properties
- Size of the total moment: 0.00 Bohr magnetons per cell
- ρ: 9.221 g/cm³
- Formation energy without anion corrections: -0.17 eV/f.u.
- Calculated volume: 57.26 Å³ per cell
- Fermi-level density of states: 0.788 states/eV/atom

abc: 4.713 4.713 2.841
angles: 90.00 90.00 114.86
Atoms (fractional coordinates):
Si1 0.000 0.000 0.000
Tc1 0.500 0.500 0.000
Mo1 0.000 0.500 0.500
Mo2 0.500 0.000 0.500

---

[4]
## SiTcMo2 (PBEsol)

Data for SiTcMo2 after structural relaxation.

## Properties
- Size of the total moment: 0.00 Bohr magnetons per cell
- ρ: 9.219 g/cm³
- Formation energy without anion corrections: 0.05 eV/f.u.
- Calculated volume: 57.27 Å³ per cell
- Fermi-level density of states: 0.980 states/eV/atom

abc: 2.703 2.703 8.252
angles: 90.00 90.00 108.20
Atoms (fractional coordinates):
Si1 0.000 0.000 0.000
Tc1 0.000 0.000 0.500
Mo1 0.500 0.500 0.240
Mo2 0.500 0.500 0.760

---

[5]
## SiTc3Mo (PBEsol)

Data for SiTc3Mo after structural relaxation.

## Properties
- Size of the total moment: 1.87 Bohr magnetons per cell
- ρ: 7.295 g/cm³
- Formation energy without anion corrections: 9.60 eV/f.u.
- Calculated volume: 95.15 Å³ per cell
- Fermi-level density of states: 0.988 states/eV/atom

abc: 4.565 4.565 4.565
angles: 90.00 90.00 90.00
Atoms (fractional coordinates):
Si1 0.000 0.000 0.000
Tc1 0.000 0.500 0.500
Tc2 0.500 0.000 0.500
Tc3 0.500 0.500 0.000
Mo1 0.500 0.500 0.500

---

[6]
## SiTcMo2 (PBEsol)

Data for SiTcMo2 after structural relaxation.

## Properties
- Size of the total moment: 0.00 Bohr magnetons per cell
- ρ: 9.450 g/cm³
- Formation energy without anion corrections: -1.22 eV/f.u.
- Calculated volume: 55.87 Å³ per cell
- Fermi-level density of states: 0.546 states/eV/atom

abc: 5.062 5.062 5.062
angles: 144.21 131.88 61.39
Atoms (fractional coordinates):
Si1 0.000 0.000 0.000
Tc1 0.500 0.500 0.000
Mo1 0.249 0.749 0.500
Mo2 0.751 0.251 0.500